Record 1
The following is a DFT calculation (PBE-GGA) of a relaxed structure of GdEr2Mg3Ga3.

abc: 4.4230 12.6173 7.2333
angles: 90.00 90.00 90.00
Space group Amm2 (No. 38)
Inequivalent atoms, fractional coordinates:
Gd 0.0000 0.0000 0.0000 [2 per cell]
Er 0.0000 0.2133 0.3592 [4 per cell]
Mg 0.5000 0.0000 0.3284 [2 per cell]
Mg 0.5000 0.1217 0.6933 [4 per cell]
Ga 0.0000 0.0000 0.5684 [2 per cell]
Ga 0.5000 0.1684 0.0724 [4 per cell]

Values from the calculation:
The calculation puts the total magnetization at 0.001 μB/atom. As for the total DFT energy (no corrections): -63.9 eV/cell.



Record 2
The following is a DFT calculation (PBE-GGA) of a relaxed structure of Gd2ErMg3Ga3.

abc: 4.4393 12.5901 7.3216
angles: 90.00 90.00 90.00
Space group Amm2 (No. 38)
Inequivalent atoms, fractional coordinates:
Gd 0.0000 0.2133 0.0000 [4 per cell]
Er 0.0000 0.0000 0.3609 [2 per cell]
Mg 0.5000 0.0000 0.0294 [2 per cell]
Mg 0.5000 0.1217 0.6641 [4 per cell]
Ga 0.0000 0.0000 0.7826 [2 per cell]
Ga 0.5000 0.1649 0.2866 [4 per cell]

Values from the calculation:
The calculation puts the total magnetization at 0.001 μB/atom. As for the total DFT energy (no corrections): -64.2 eV/cell.



Record 3
The following is a DFT calculation (PBE-GGA) of a relaxed structure of GdEr2Mg3TlGa2.

abc: 4.5470 12.7056 7.2896
angles: 90.00 90.00 90.00
Space group Amm2 (No. 38)
Inequivalent atoms, fractional coordinates:
Gd 0.0000 0.0000 0.0000 [2 per cell]
Er 0.0000 0.2187 0.3436 [4 per cell]
Mg 0.5000 0.0000 0.3121 [2 per cell]
Mg 0.5000 0.1252 0.6866 [4 per cell]
Tl 0.0000 0.0000 0.5590 [2 per cell]
Ga 0.5000 0.1681 0.0621 [4 per cell]

Values from the calculation:
The calculation puts the total magnetization at 0.001 μB/atom. As for the total DFT energy (no corrections): -61.5 eV/cell.



Record 4
The following is a DFT calculation (PBE-GGA) of a relaxed structure of GdErGa4Ni2.

abc: 6.7149 4.1029 10.1042
angles: 90.00 90.00 90.00
Space group Amm2 (No. 38)
Inequivalent atoms, fractional coordinates:
Gd 0.0000 0.0000 0.0000 [2 per cell]
Er 0.5000 0.0000 0.8576 [2 per cell]
Ga 0.1971 0.0000 0.2845 [4 per cell]
Ga 0.3050 0.0000 0.5744 [4 per cell]
Ni 0.0000 0.0000 0.7171 [2 per cell]
Ni 0.5000 0.0000 0.1401 [2 per cell]

Values from the calculation:
The calculation puts the total magnetization at 0.001 μB/atom. As for the total DFT energy (no corrections): -75.3 eV/cell.